## ScCrF3 (GGA+U)

Data for a geometry-optimized ScCrF3 structure.

Summary:
**Crystal system**: cubic
**Offset from the most stable computed form**: 3.20 eV/f.u.
**Uncorrected energy**: -5.7645 eV/atom

Unit cell a=4.2152 b=4.2152 c=4.2152 alpha=90.00 beta=90.00 gamma=90.00
Space group Pm-3m (No. 221)
Inequivalent atoms, fractional coordinates:
Sc  0.0000  0.0000  0.0000 [1 per cell]
Cr  0.5000  0.5000  0.5000 [1 per cell]
F  0.0000  0.5000  0.5000 [3 per cell]